# 1
Here is crystalline Ga2Hg2I3 at its relaxed geometry from Alexandria via LeMat-Bulk. Energies are from PBE-GGA.

It has space group P-1 (No. 2), with a = 4.764 Å, b = 7.207 Å, c = 7.714 Å, α = 90.20°, β = 105.69° and γ = 90.48°. The distinct sites, in fractional coordinates, are Ga at (0.162, 0.147, 0.289), Hg at (0.283, 0.584, 0.068), I at (0.226, 0.751, 0.435) and I at (0.500, 0.000, 0.000).

For the density of states at the Fermi level, the calculation gives 0.132 states/eV/atom. The magnetization comes out at 0.00 μB per cell. Its uncorrected formation energy is -0.23 eV per atom.



# 2
Here is crystalline Ga2HgI2 at its relaxed geometry from Alexandria via LeMat-Bulk. Energies are from PBE-GGA.

It has space group R-3m (No. 166, hexagonal axes), with a = 4.5530 Å, b = 4.5530 Å, c = 30.3979 Å, α = 90.00°, β = 90.00° and γ = 120.00°. The distinct sites, in fractional coordinates, are Ga at (0.0000, 0.0000, 0.1134), Hg at (0.0000, 0.0000, 0.5000) and I at (0.0000, 0.0000, 0.2707).

As for the energy above the lowest structure with this stoichiometry: 0.0 meV per atom. The magnetization comes out at 0.00 μB per cell. Its uncorrected formation energy is -0.25 eV per atom.



# 3
Here is crystalline Ga5Hg3I12 at its relaxed geometry from Alexandria via LeMat-Bulk. Energies are from PBE-GGA.

It has space group Ia-3d (No. 230), with a = 19.164 Å, b = 19.164 Å, c = 19.164 Å, α = 90.00°, β = 90.00° and γ = 90.00°. The distinct sites, in fractional coordinates, are Ga at (0.000, 0.000, 0.000), Ga at (0.000, 0.250, 0.375), Hg at (0.000, 0.250, 0.125) and I at (0.044, 0.057, 0.657).

For the density of states at the Fermi level, the calculation gives 0.903 states/eV/atom. The magnetization comes out at 0.00 μB per cell. Its uncorrected formation energy is -0.31 eV per atom.



# 4
Here is crystalline GaHg4I2 at its relaxed geometry from Alexandria via LeMat-Bulk. Energies are from PBE-GGA.

It has space group I4/mmm (No. 139), with a = 5.451 Å, b = 5.451 Å, c = 16.335 Å, α = 90.00°, β = 90.00° and γ = 90.00°. The distinct sites, in fractional coordinates, are Ga at (0.000, 0.000, 0.000), Hg at (0.000, 0.000, 0.160), Hg at (0.000, 0.500, 0.000) and I at (0.000, 0.000, 0.332).

For the density of states at the Fermi level, the calculation gives 0.434 states/eV/atom. The magnetization comes out at 0.00 μB per cell. Its uncorrected formation energy is -0.11 eV per atom.



# 5
Here is crystalline Ga3Hg5I12 at its relaxed geometry from Alexandria via LeMat-Bulk. Energies are from PBE-GGA.

It has space group Ia-3d (No. 230), with a = 18.826 Å, b = 18.826 Å, c = 18.826 Å, α = 90.00°, β = 90.00° and γ = 90.00°. The distinct sites, in fractional coordinates, are Ga at (0.000, 0.250, 0.125), Hg at (0.000, 0.000, 0.000), Hg at (0.000, 0.250, 0.375) and I at (0.026, 0.062, 0.652).

For the density of states at the Fermi level, the calculation gives 0.215 states/eV/atom. The magnetization comes out at 0.00 μB per cell. Its uncorrected formation energy is -0.22 eV per atom.



# 6
Here is crystalline InGaHgI4 at its relaxed geometry from Alexandria via LeMat-Bulk. Energies are from PBE-GGA.

It has space group C2/m (No. 12), with a = 12.641 Å, b = 10.934 Å, c = 10.952 Å, α = 90.00°, β = 107.30° and γ = 90.00°. The distinct sites, in fractional coordinates, are In at (0.231, 0.000, 0.048), Ga at (0.158, 0.500, 0.281), Hg at (0.007, 0.000, 0.185), I at (0.041, 0.500, 0.702), I at (0.181, 0.311, 0.140) and I at (0.193, 0.000, 0.504).

For the density of states at the Fermi level, the calculation gives 0.000 states/eV/atom. The magnetization comes out at 0.00 μB per cell. Its uncorrected formation energy is -0.40 eV per atom.